Here is crystalline Nd2Sb2Pt15 at its relaxed geometry from Alexandria via LeMat-Bulk. Energies are from PBE.

## Properties
Raw total energy (eV/atom): -6.183
Magnetic moment (Bohr magnetons per cell): 0.0

Lattice parameters (Å, degrees): 9.4428 9.4428 13.5902 90.00 90.00 120.00
Space group R-3m (No. 166, hexagonal axes)
Symmetry-distinct sites (fractional):
Nd: 0.0000 0.0000 0.1444
Sb: 0.0000 0.0000 0.3947
Pt: 0.0000 0.3341 0.5000
Pt: 0.0000 0.5000 0.0000
Pt: 0.0061 0.5031 0.6670